[1]
Here is a geometry-optimized Rb2YHgCl6 structure from Alexandria via LeMat-Bulk. Energies are from GGA-PBE.

Cell lengths 7.8854, 7.8854, 11.1273 Å; angles 90.00, 90.00, 90.00 degrees
Space group I4/mmm (No. 139)
Inequivalent atoms, fractional coordinates:
Rb: 0.0000 0.5000 0.2500
Y: 0.0000 0.0000 0.0000
Hg: 0.0000 0.0000 0.5000
Cl: 0.0000 0.0000 0.2370
Cl: 0.2364 0.2364 0.0000

Results
Energy above the most stable polymorph in this dataset in eV/f.u.: 0.04

=====

[2]
Here is a geometry-optimized NaBPt2Rh structure from Alexandria via LeMat-Bulk. Energies are from GGA-PBE.

Cell lengths 4.2107, 4.2107, 4.1815 Å; angles 90.00, 90.00, 90.00 degrees
Space group P4/mmm (No. 123)
Inequivalent atoms, fractional coordinates:
Na: 0.0000 0.0000 0.0000
B: 0.5000 0.5000 0.5000
Pt: 0.0000 0.5000 0.5000
Rh: 0.5000 0.5000 0.0000

Results
E_form in meV/atom: -202

=====

[3]
Here is a geometry-optimized TaAlCu2B structure from Alexandria via LeMat-Bulk. Energies are from GGA-PBE.

Cell lengths 4.7411, 4.7411, 5.1935 Å; angles 90.00, 90.00, 90.00 degrees
Space group P4/mmm (No. 123)
Inequivalent atoms, fractional coordinates:
Ta: 0.0000 0.0000 0.0000
Al: 0.0000 0.0000 0.5000
Cu: 0.0000 0.5000 0.0000
B: 0.5000 0.5000 0.5000

Results
E_form in meV/atom: 2185

=====

[4]
Here is a geometry-optimized TiNiRh3 structure from Alexandria via LeMat-Bulk. Energies are from GGA-PBE.

Cell lengths 6.5150, 10.7584, 4.3480 Å; angles 90.00, 90.00, 90.00 degrees
Space group Cmcm (No. 63)
Inequivalent atoms, fractional coordinates:
Ti: 0.0000 0.1543 0.2500
Ni: 0.0000 0.5000 0.0000
Rh: 0.0000 0.3007 0.7500
Rh: 0.2031 0.0922 0.7500

Results
Energy above the most stable polymorph in this dataset in eV/f.u.: 2.24
E_form in meV/atom: 57

=====

[5]
Here is a geometry-optimized BiPdNF2 structure from Alexandria via LeMat-Bulk. Energies are from GGA-PBE.

Cell lengths 4.5571, 4.5571, 3.7047 Å; angles 90.00, 90.00, 90.00 degrees
Space group P4/mmm (No. 123)
Inequivalent atoms, fractional coordinates:
Bi: 0.0000 0.0000 0.0000
Pd: 0.5000 0.5000 0.0000
N: 0.5000 0.5000 0.5000
F: 0.0000 0.5000 0.5000

Results
Energy above the most stable polymorph in this dataset in eV/f.u.: 0.90

=====

[6]
Here is a geometry-optimized BeInSb2 structure from Alexandria via LeMat-Bulk. Energies are from GGA-PBE.

Cell lengths 4.1725, 4.1725, 10.9719 Å; angles 90.00, 90.00, 90.00 degrees
Space group I-4m2 (No. 119)
Inequivalent atoms, fractional coordinates:
Be: 0.0000 0.0000 0.0000
In: 0.0000 0.5000 0.7500
Sb: 0.0000 0.0000 0.5000
Sb: 0.0000 0.5000 0.2500

Results
Energy above the most stable polymorph in this dataset in eV/f.u.: 1.80

=====

no.,density of states at the Fermi level (states/eV/f.u.),total moment (μB/f.u.)
1,7.8,0.000
2,5.5,0.000
3,6.2,0.000
4,9.2,0.000
5,2.9,0.547
6,2.4,0.000